Compound: Rh2Au
Source: the Alexandria database
Functional: PBE-GGA
Structure: optimized geometry

Cell lengths 5.1229, 5.1229, 5.1229 Å; angles 105.84, 105.84, 117.01 degrees
Each line ends with the local moment (μB).
Element x y z (fractional)
Rh 0.6383 0.8617 0.5000  1.10
Rh 0.3617 0.1383 0.5000  1.10
Rh 0.1383 0.6383 0.7766  1.10
Rh 0.8617 0.3617 0.2234  1.10
Au 0.7500 0.7500 0.0000  0.14
Au 0.2500 0.2500 0.0000  0.14

Its crystal system is tetragonal. The calculation puts the density at 13.1 Mg/m³. The space-group type is No. 140. The value obtained for the polymorph energy (0 for the lowest one) is 43.6 kJ/mol of atoms. The value obtained for the energy of formation from the pure elements is 0.575 eV per atom.

Compound: RhAu7
Source: the Alexandria database
Functional: PBE-GGA
Structure: optimized geometry

Cell lengths 5.8273, 5.8273, 5.8273 Å; angles 60.00, 60.00, 60.00 degrees
Element x y z (fractional)
Au 0.5000 0.0000 0.0000
Au 0.5000 0.5000 0.5000
Au 0.0000 0.0000 0.5000
Au 0.5000 0.5000 0.0000
Au 0.0000 0.5000 0.0000
Au 0.5000 0.0000 0.5000
Au 0.0000 0.5000 0.5000
Rh 0.0000 0.0000 0.0000

Its crystal system is cubic. The calculation puts the density at 17.6 Mg/m³. The space-group type is No. 225. The value obtained for the energy of formation from the pure elements is 0.073 eV per atom.

Compound: RhAu2
Source: the Alexandria database
Functional: PBE-GGA
Structure: optimized geometry

Cell lengths 4.9269, 4.9269, 14.3746 Å; angles 90.00, 90.00, 120.00 degrees
Each line ends with the local moment (μB).
Element x y z (fractional)
Au 0.0000 0.0000 0.5000  0.00
Au 0.6634 0.6667 0.6667  0.02
Au 0.0000 0.3301 0.0000  0.02
Au 0.3301 0.0000 0.0000  0.02
Au 0.0032 0.3366 0.6667  0.02
Au 0.3366 0.0032 0.3333  0.02
Au 0.6667 0.6634 0.3333  0.02
Au 0.3333 0.6667 0.1667  0.00
Au 0.6699 0.6699 0.0000  0.02
Au 0.9968 0.3333 0.3333  0.02
Au 0.6667 0.3333 0.8333  0.00
Au 0.3333 0.9968 0.6667  0.02
Rh 0.3333 0.6667 0.4995  0.34
Rh 0.0000 0.0000 0.1672  0.34
Rh 0.3333 0.6667 0.8339  0.34
Rh 0.0000 0.0000 0.8328  0.34
Rh 0.6667 0.3333 0.5005  0.34
Rh 0.6667 0.3333 0.1661  0.34

Its crystal system is trigonal. The calculation puts the density at 16.4 Mg/m³. The space-group type is No. 155. The value obtained for the polymorph energy (0 for the lowest one) is 3.7 kJ/mol of atoms. The value obtained for the energy of formation from the pure elements is 0.182 eV per atom.

Compound: RhAu3
Source: the Alexandria database
Functional: PBE-GGA
Structure: optimized geometry

Cell lengths 2.8522, 4.8048, 4.9822 Å; angles 90.00, 90.00, 90.00 degrees
Element x y z (fractional)
Au 0.5000 0.5000 0.8342
Au 0.0000 0.0000 0.0024
Au 0.5000 0.0000 0.4921
Rh 0.0000 0.5000 0.3380

Its crystal system is orthorhombic. The calculation puts the density at 16.9 Mg/m³. The space-group type is No. 25. The value obtained for the energy of formation from the pure elements is 0.146 eV per atom.

Compound: RhAu2
Source: the Alexandria database
Functional: PBE-GGA
Structure: optimized geometry

Cell lengths 5.7975, 4.0298, 8.6140 Å; angles 90.00, 90.00, 90.00 degrees
Each line ends with the local moment (μB).
Element x y z (fractional)
Rh 0.1111 0.2500 0.9243  0.47
Rh 0.8889 0.7500 0.0758  0.47
Rh 0.3889 0.7500 0.4242  0.47
Rh 0.6111 0.2500 0.5757  0.47
Au 0.3763 0.7500 0.0854  0.03
Au 0.3712 0.7500 0.7505  0.02
Au 0.1288 0.2500 0.2506  0.02
Au 0.6237 0.2500 0.9146  0.03
Au 0.1237 0.2500 0.5854  0.03
Au 0.8712 0.7500 0.7495  0.02
Au 0.8763 0.7500 0.4146  0.03
Au 0.6288 0.2500 0.2494  0.02

Its crystal system is orthorhombic. The calculation puts the density at 16.4 Mg/m³. The space-group type is No. 62. The value obtained for the polymorph energy (0 for the lowest one) is 2.7 kJ/mol of atoms. The value obtained for the energy of formation from the pure elements is 0.171 eV per atom.

Compound: RhAu2
Source: the Alexandria database
Functional: PBE-GGA
Structure: optimized geometry

Cell lengths 4.6130, 4.6130, 5.5576 Å; angles 90.00, 90.00, 120.00 degrees
Each line ends with the local moment (μB).
Element x y z (fractional)
Rh 0.6667 0.3333 0.2500  0.38
Rh 0.3333 0.6667 0.7500  0.38
Au 0.0000 0.0000 0.5000  0.01
Au 0.0000 0.0000 0.0000  0.01
Au 0.3333 0.6667 0.2500  0.07
Au 0.6667 0.3333 0.7500  0.07

Its crystal system is hexagonal. The calculation puts the density at 16.1 Mg/m³. The space-group type is No. 194. The value obtained for the polymorph energy (0 for the lowest one) is 11.2 kJ/mol of atoms. The value obtained for the energy of formation from the pure elements is 0.259 eV per atom.

Compound: Rh5Au3
Source: the Alexandria database
Functional: PBE-GGA
Structure: optimized geometry

Cell lengths 7.6599, 7.6599, 7.6641 Å; angles 96.22, 96.22, 141.48 degrees
Each line ends with the local moment (μB).
Element x y z (fractional)
Rh 0.9391 0.2543 0.1914  0.96
Rh 0.2503 0.7503 0.5002  1.07
Rh 0.2465 0.5617 0.8094  0.96
Rh 0.7471 0.9381 0.6851  0.97
Rh 0.7504 0.2504 0.5005  1.07
Rh 0.0617 0.7465 0.8094  0.96
Rh 0.5628 0.7538 0.3158  0.97
Rh 0.7543 0.4391 0.1914  0.96
Rh 0.2538 0.0628 0.3158  0.97
Rh 0.4381 0.2471 0.6851  0.97
Au 0.3150 0.8150 0.1276  0.11
Au 0.2505 0.2504 0.0005  0.06
Au 0.7504 0.7505 0.0005  0.06
Au 0.1866 0.3142 0.5004  0.10
Au 0.8142 0.6866 0.5004  0.10
Au 0.6859 0.1859 0.8731  0.11

Its crystal system is monoclinic. The calculation puts the density at 13.9 Mg/m³. The space-group type is No. 12. The value obtained for the polymorph energy (0 for the lowest one) is 0.0 kJ/mol of atoms. The value obtained for the energy of formation from the pure elements is 0.377 eV per atom.

Compound: Rh4Au3
Source: the Alexandria database
Functional: PBE-GGA
Structure: optimized geometry

Cell lengths 10.3211, 10.3211, 10.3211 Å; angles 161.37, 161.37, 26.46 degrees
Element x y z (fractional)
Rh 0.1360 0.1360 0.0000
Rh 0.4258 0.4258 0.0000
Rh 0.8640 0.8640 0.0000
Rh 0.5742 0.5742 0.0000
Au 0.2886 0.2886 0.0000
Au 0.7114 0.7114 0.0000
Au 0.0000 0.0000 0.0000

Its crystal system is tetragonal. The calculation puts the density at 14.8 Mg/m³. The space-group type is No. 139. The value obtained for the energy of formation from the pure elements is 0.224 eV per atom.

Compound: RhAu3
Source: the Alexandria database
Functional: PBE-GGA
Structure: optimized geometry

Cell lengths 2.8645, 2.8645, 8.3144 Å; angles 90.00, 90.00, 90.00 degrees
Each line ends with the local moment (μB).
Element x y z (fractional)
Au 0.0000 0.0000 0.2391  0.03
Au 0.5000 0.5000 0.5000  0.00
Au 0.0000 0.0000 0.7609  0.03
Rh 0.5000 0.5000 0.0000  0.54

Its crystal system is tetragonal. The calculation puts the density at 16.9 Mg/m³. The space-group type is No. 123. The value obtained for the energy of formation from the pure elements is 0.117 eV per atom.

Compound: RhAu5
Source: the Alexandria database
Functional: PBE-GGA
Structure: optimized geometry

Cell lengths 5.4190, 5.4190, 5.4190 Å; angles 60.00, 60.00, 60.00 degrees
Element x y z (fractional)
Au 0.3749 0.3749 0.8753
Au 0.3749 0.3749 0.3749
Au 0.7500 0.7500 0.7500
Au 0.8753 0.3749 0.3749
Au 0.3749 0.8753 0.3749
Rh 0.0000 0.0000 0.0000

Its crystal system is cubic. The calculation puts the density at 16.1 Mg/m³. The space-group type is No. 216. The value obtained for the polymorph energy (0 for the lowest one) is 26.8 kJ/mol of atoms. The value obtained for the energy of formation from the pure elements is 0.376 eV per atom.

Compound: Rh2Au
Source: the Alexandria database
Functional: PBE-GGA
Structure: optimized geometry

Cell lengths 5.5986, 3.9596, 8.3590 Å; angles 90.00, 90.00, 90.00 degrees
Element x y z (fractional)
Rh 0.1200 0.2500 0.5845
Rh 0.6199 0.2500 0.2418
Rh 0.3801 0.7500 0.7582
Rh 0.1199 0.2500 0.2582
Rh 0.8800 0.7500 0.4155
Rh 0.6200 0.2500 0.9155
Rh 0.3800 0.7500 0.0845
Rh 0.8801 0.7500 0.7418
Au 0.3735 0.7500 0.4170
Au 0.8735 0.7500 0.0830
Au 0.6265 0.2500 0.5830
Au 0.1265 0.2500 0.9170

Its crystal system is orthorhombic. The calculation puts the density at 14.4 Mg/m³. The space-group type is No. 62. The value obtained for the polymorph energy (0 for the lowest one) is 7.3 kJ/mol of atoms. The value obtained for the energy of formation from the pure elements is 0.199 eV per atom.

Compound: Rh3Au4
Source: the Alexandria database
Functional: PBE-GGA
Structure: optimized geometry

Cell lengths 10.5649, 10.5649, 10.5649 Å; angles 161.72, 161.72, 25.97 degrees
Each line ends with the local moment (μB).
Element x y z (fractional)
Au 0.8538 0.8538 0.0000  0.01
Au 0.1462 0.1462 0.0000  0.01
Au 0.4286 0.4286 0.0000  0.05
Au 0.5714 0.5714 0.0000  0.05
Rh 0.7205 0.7205 0.0000  0.09
Rh 0.0000 0.0000 0.0000  0.54
Rh 0.2795 0.2795 0.0000  0.09

Its crystal system is tetragonal. The calculation puts the density at 15.7 Mg/m³. The space-group type is No. 139. The value obtained for the energy of formation from the pure elements is 0.210 eV per atom.